*one*
# LiTlTe

An optimized crystal structure of LiTlTe (PBE, Alexandria).

```
6
Lattice="4.798 -0.577 -0.001 0.578 4.797 0.000 0.002 0.003 7.456" Properties=species:S:1:pos:R:3 pbc="T T T"
Te 5.278 4.198 0.623
Te 2.592 2.090 5.024
Li 2.882 4.488 6.552
Li 4.991 1.801 6.551
Tl 2.590 2.087 1.581
Tl 5.280 4.200 4.066
```

Values from the calculation:
Its space-group type is P4/nmm. The calculation puts the volume at 174.1 Å³/cell.



*two*
# LiTlTe

An optimized crystal structure of LiTlTe (PBE, Alexandria).

```
3
Lattice="4.652 -0.002 -0.008 2.307 4.054 -0.016 2.131 1.166 5.287" Properties=species:S:1:pos:R:3 pbc="T T T"
Te 4.525 4.823 4.056
Li 4.544 2.125 3.703
Tl 4.755 2.339 0.718
```

Values from the calculation:
Its space-group type is P1. The calculation puts the volume at 99.9 Å³/cell.



Stability summary: most stable *one*, least stable *two*.



*one*
# LiTlZnTe2

An optimized crystal structure of LiTlZnTe2 (PBE, Alexandria).

```
10
Lattice="-2.151 3.837 -0.942 -6.100 -1.815 -4.206 -6.432 0.723 6.894" Properties=species:S:1:pos:R:3 pbc="T T T"
Te -3.883 2.779 -1.296
Te -8.028 0.412 -1.474
Te -6.654 2.334 3.220
Te -10.799 -0.034 3.042
Zn -8.735 2.175 -3.421
Zn -5.948 0.571 5.168
Tl -10.278 2.277 0.522
Tl -4.404 0.468 1.224
Li -8.906 1.393 4.531
Li -5.777 1.352 -2.785
```

Values from the calculation:
Its space-group type is C2/m. The calculation puts the volume at 300.6 Å³/cell.



*two*
# LiTlZnTe2

An optimized crystal structure of LiTlZnTe2 (PBE, Alexandria).

```
5
Lattice="5.500 0.000 0.000 0.000 4.957 0.000 0.000 0.000 5.500" Properties=species:S:1:pos:R:3 pbc="T T T"
Zn 0.000 0.000 0.000
Te 0.000 0.000 2.750
Te 2.750 0.000 0.000
Li 0.000 2.478 0.000
Tl 2.750 2.478 2.750
```

Values from the calculation:
Its space-group type is P4/mmm. The calculation puts the volume at 149.9 Å³/cell.



Stability summary: most stable *one*, least stable *two*.



*one*
# LiTm2Te3

An optimized crystal structure of LiTm2Te3 (PBE, Alexandria).

```
12
Lattice="-1.780 2.304 2.850 1.624 -4.893 4.971 9.769 5.183 1.910" Properties=species:S:1:pos:R:3 pbc="T T T"
Tm 2.687 -4.114 5.004
Tm 9.397 2.324 3.990
Tm 5.668 -1.038 7.292
Tm 4.709 1.331 4.778
Te 0.189 0.092 2.955
Te 9.534 2.173 7.110
Te 4.047 0.863 1.829
Te 7.259 -0.309 4.784
Te 3.064 -1.088 5.706
Te 6.562 3.646 4.063
Li 9.443 -0.705 6.468
Li 2.741 -1.384 2.831
```

Values from the calculation:
Its space-group type is Pmc2_1. The calculation puts the volume at 327.5 Å³/cell.



*two*
# LiTm2Te3

An optimized crystal structure of LiTm2Te3 (PBE, Alexandria).

```
6
Lattice="-3.726 -1.897 0.808 0.562 -3.274 -5.095 4.642 -2.021 5.441" Properties=species:S:1:pos:R:3 pbc="T T T"
Tm 3.348 -2.556 3.827
Tm -1.870 -4.636 -2.673
Li 0.739 -3.596 0.577
Te 3.588 -4.132 1.235
Te -2.110 -3.060 -0.082
Te 0.458 -1.959 3.124
```

Values from the calculation:
Its space-group type is Immm. The calculation puts the volume at 166.8 Å³/cell.



Stability summary: most stable *two*, least stable *one*.



*one*
# LiTmTe

An optimized crystal structure of LiTmTe (PBE, Alexandria).

```
12
Lattice="4.213 0.000 0.000 0.000 8.949 0.000 0.000 0.000 8.949" Properties=species:S:1:pos:R:3 pbc="T T T"
Tm 2.106 7.084 8.773
Tm 0.000 0.176 7.084
Tm 0.000 8.773 1.865
Tm 2.106 1.865 0.176
Li 0.000 3.230 2.801
Li 2.106 2.801 5.720
Li 0.000 5.720 6.149
Li 2.106 6.149 3.230
Te 0.000 5.658 1.643
Te 0.000 3.292 7.306
Te 2.106 7.306 5.658
Te 2.106 1.643 3.292
```

Values from the calculation:
Its space-group type is P4_2/m. The calculation puts the volume at 337.4 Å³/cell.



*two*
# LiTmTe

An optimized crystal structure of LiTmTe (PBE, Alexandria).

```
3
Lattice="3.909 0.000 0.000 0.000 4.409 0.000 0.000 -2.204 3.818" Properties=species:S:1:pos:R:3 pbc="T T T"
Li 0.651 0.000 0.000
Tm 2.606 2.204 1.273
Te 0.652 0.000 2.545
```

Values from the calculation:
Its space-group type is P-6m2. The calculation puts the volume at 65.8 Å³/cell.



Stability summary: most stable *two*, least stable *one*.



*one*
# Li2UTe3

An optimized crystal structure of Li2UTe3 (PBE, Alexandria).

```
12
Lattice="-3.469 2.352 1.183 -4.132 -6.145 0.103 2.566 -1.321 10.150" Properties=species:S:1:pos:R:3 pbc="T T T"
Te -2.508 -6.140 8.862
Te -2.527 1.026 2.574
Te -0.598 -1.588 5.412
Te -2.221 -1.958 9.405
Te -4.436 -3.525 6.025
Te -2.814 -3.155 2.032
U -3.796 -5.417 3.648
U -1.239 0.303 7.788
Li -5.590 -2.778 1.158
Li 0.555 -2.335 10.278
Li -3.583 -1.300 4.105
Li -1.452 -3.813 7.332
```

Values from the calculation:
Its space-group type is P2_1/m. The calculation puts the volume at 340.3 Å³/cell.



*two*
# Li2UTe3

An optimized crystal structure of Li2UTe3 (PBE, Alexandria).

```
24
Lattice="7.326 0.006 -1.349 -2.828 6.758 -1.349 0.016 0.024 13.669" Properties=species:S:1:pos:R:3 pbc="T T T"
Li 3.401 5.115 4.917
Li 2.636 3.964 0.755
Li 0.832 6.756 11.540
Li 5.182 2.288 7.590
Li 1.878 2.825 10.216
Li 1.113 1.674 6.054
Li -1.395 3.408 -0.568
Li 4.409 1.125 3.382
Te 0.100 5.659 0.713
Te 2.625 3.951 7.560
Te 4.436 1.162 10.246
Te 1.135 1.706 -0.680
Te -0.666 4.507 10.259
Te 5.910 3.382 4.818
Te 4.116 6.187 2.076
Te 1.886 2.840 3.411
Te 5.158 2.249 0.726
Te 0.401 0.599 8.896
Te 3.363 5.058 -2.017
Te 3.681 0.031 6.154
U 0.095 5.648 7.533
U 0.376 0.566 2.047
U 4.138 6.222 8.925
U -0.658 4.516 3.439
```

Values from the calculation:
Its space-group type is Fddd. The calculation puts the volume at 677.4 Å³/cell.



Stability summary: most stable *two*, least stable *one*.



*one*
# Li4U3Te8

An optimized crystal structure of Li4U3Te8 (PBE, Alexandria).

```
15
Lattice="-8.340 2.277 1.124 -6.080 -2.826 -5.573 -5.882 -6.211 2.748" Properties=species:S:1:pos:R:3 pbc="T T T"
Te -8.097 -3.208 -3.178
Te -9.248 -0.609 0.233
Te -15.210 -4.979 -1.339
Te -12.205 -3.551 1.477
Te -11.054 -6.150 -1.934
Te -7.957 -4.711 0.904
Te -5.092 -1.780 -0.362
Te -12.345 -2.048 -2.605
Li -9.725 -0.990 -2.528
Li -10.578 -5.770 0.827
Li 0.000 0.000 0.000
Li -10.151 -3.380 -0.851
U -5.981 -4.518 -1.413
U -7.111 -1.967 1.936
U -2.941 -3.105 1.374
```

Values from the calculation:
Its space-group type is R-3m. The calculation puts the volume at 489.9 Å³/cell.



*two*
# Li4U3Te8

An optimized crystal structure of Li4U3Te8 (PBE, Alexandria).

```
15
Lattice="8.630 -0.201 -0.289 -4.285 7.534 0.155 -4.285 -2.470 7.119" Properties=species:S:1:pos:R:3 pbc="T T T"
Te 2.082 3.614 5.191
Te 2.277 1.217 1.748
Te -4.285 0.016 5.389
Te -4.285 5.048 1.885
Te -2.216 3.646 5.238
Te 0.030 -0.117 5.267
Te -2.021 1.249 1.794
Te 0.030 4.980 1.718
Li -2.142 -1.235 3.559
Li 4.315 -0.100 -0.144
Li 0.000 0.000 0.000
Li -2.142 3.767 0.078
U 0.030 2.431 3.493
U 2.173 -1.335 3.415
U 2.173 3.666 -0.067
```

Values from the calculation:
Its space-group type is C2/m. The calculation puts the volume at 447.8 Å³/cell.



Stability summary: most stable *one*, least stable *two*.



*one*
# LiVTe3

An optimized crystal structure of LiVTe3 (PBE, Alexandria).

```
10
Lattice="5.337 0.000 0.000 -2.669 7.039 0.365 0.000 -1.368 7.763" Properties=species:S:1:pos:R:3 pbc="T T T"
Te 2.669 1.258 7.339
Te 2.669 5.253 6.700
Te 0.000 1.677 4.483
Te 2.669 3.993 3.645
Te 0.000 4.413 0.789
Te 0.000 0.418 1.428
Li 2.669 1.502 2.207
Li 0.000 4.168 5.921
V 0.000 0.899 6.901
V 2.669 4.771 1.227
```

Values from the calculation:
Its space-group type is C2/m. The calculation puts the volume at 294.3 Å³/cell.



*two*
# LiVTe3

An optimized crystal structure of LiVTe3 (PBE, Alexandria).

```
5
Lattice="-4.082 3.396 -0.383 -2.171 -2.115 4.376 2.640 3.512 3.007" Properties=species:S:1:pos:R:3 pbc="T T T"
Te -1.086 -1.058 2.188
Te 1.320 1.756 1.503
Te -2.041 1.698 -0.192
V 0.000 0.000 0.000
Li -1.806 2.396 3.500
```

Values from the calculation:
Its space-group type is Pm-3m. The calculation puts the volume at 150.9 Å³/cell.



*three*
# LiVTe3

An optimized crystal structure of LiVTe3 (PBE, Alexandria).

```
5
Lattice="-3.620 2.476 2.523 -1.764 -4.395 1.782 3.063 0.396 4.008" Properties=species:S:1:pos:R:3 pbc="T T T"
Te -0.882 -2.197 0.891
Te 1.532 0.198 2.004
Te -1.810 1.238 1.261
V -1.161 -0.761 4.156
Li 0.000 0.000 0.000
```

Values from the calculation:
Its space-group type is Pm-3m. The calculation puts the volume at 129.5 Å³/cell.



Stability summary: most stable *one*, least stable *three*.



*one*
# LiVTe

An optimized crystal structure of LiVTe (PBE, Alexandria).

```
12
Lattice="3.809 0.000 0.000 0.000 8.629 0.000 0.000 0.000 8.629" Properties=species:S:1:pos:R:3 pbc="T T T"
Li 0.000 3.161 1.372
Li 1.904 1.372 5.469
Li 1.904 7.258 3.161
Li 0.000 5.469 7.258
V 1.904 1.249 8.572
V 0.000 8.572 7.381
V 1.904 7.381 0.057
V 0.000 0.057 1.249
Te 1.904 1.544 2.697
Te 0.000 2.697 7.085
Te 0.000 5.933 1.544
Te 1.904 7.085 5.933
```

Values from the calculation:
Its space-group type is P4_2/m. The calculation puts the volume at 283.6 Å³/cell.



*two*
# LiVTe

An optimized crystal structure of LiVTe (PBE, Alexandria).

```
6
Lattice="3.962 0.000 0.000 0.000 3.962 0.000 0.000 0.000 7.040" Properties=species:S:1:pos:R:3 pbc="T T T"
V 0.000 0.000 3.520
V 1.981 1.981 3.520
Te 0.000 1.981 1.651
Te 1.981 0.000 5.389
Li 0.000 1.981 5.777
Li 1.981 0.000 1.264
```

Values from the calculation:
Its space-group type is P4/nmm. The calculation puts the volume at 110.5 Å³/cell.



Stability summary: most stable *two*, least stable *one*.



*one*
# LiV3Te

An optimized crystal structure of LiV3Te (PBE, Alexandria).

```
5
Lattice="5.160 0.000 0.000 0.000 5.160 0.000 0.000 0.000 5.160" Properties=species:S:1:pos:R:3 pbc="T T T"
V 0.000 0.000 2.580
V 0.000 2.580 0.000
V 2.580 0.000 0.000
Te 0.000 0.000 0.000
Li 2.580 2.580 2.580
```

Values from the calculation:
Its space-group type is Pm-3m. The calculation puts the volume at 137.4 Å³/cell.



*two*
# LiV3Te

An optimized crystal structure of LiV3Te (PBE, Alexandria).

```
5
Lattice="-3.633 -0.809 2.015 1.370 -3.901 0.903 1.685 1.428 3.611" Properties=species:S:1:pos:R:3 pbc="T T T"
Li 0.000 0.000 0.000
V 0.685 -1.951 0.452
V 0.842 0.714 1.805
V -1.816 -0.405 1.008
Te -0.289 -1.642 3.264
```

Values from the calculation:
Its space-group type is Pm-3m. The calculation puts the volume at 75.8 Å³/cell.



Stability summary: most stable *two*, least stable *one*.



*one*
# LiTeW

An optimized crystal structure of LiTeW (PBE, Alexandria).

```
3
Lattice="7.460 -0.002 0.001 6.637 2.897 -0.012 0.823 -0.861 2.768" Properties=species:S:1:pos:R:3 pbc="T T T"
W 9.678 1.645 0.915
Li 0.989 -0.814 2.734
Te 5.076 0.342 1.878
```

Values from the calculation:
Its space-group type is Fmm2. The calculation puts the volume at 59.8 Å³/cell.



*two*
# LiTeW

An optimized crystal structure of LiTeW (PBE, Alexandria).

```
3
Lattice="4.753 0.000 0.000 -2.376 4.116 0.000 0.000 0.000 2.830" Properties=species:S:1:pos:R:3 pbc="T T T"
Te 2.376 1.372 1.413
Li 0.000 0.000 0.001
W 0.000 2.744 1.416
```

Values from the calculation:
Its space-group type is P-6m2. The calculation puts the volume at 55.4 Å³/cell.



*three*
# LiTeW

An optimized crystal structure of LiTeW (PBE, Alexandria).

```
3
Lattice="-1.861 -2.389 -3.253 0.318 -4.433 0.037 -3.593 -2.479 0.839" Properties=species:S:1:pos:R:3 pbc="T T T"
Te -2.568 -4.650 -1.188
Li 0.000 0.000 0.000
W -3.852 -6.976 -1.782
```

Values from the calculation:
Its space-group type is F-43m. The calculation puts the volume at 62.1 Å³/cell.



*four*
# LiTeW

An optimized crystal structure of LiTeW (PBE, Alexandria).

```
3
Lattice="5.019 -0.007 0.000 2.754 4.197 0.000 -3.887 -2.095 2.388" Properties=species:S:1:pos:R:3 pbc="T T T"
Te 2.581 1.391 0.000
Li 7.769 4.187 0.000
W 5.196 2.800 0.000
```

Values from the calculation:
Its space-group type is I4mm. The calculation puts the volume at 50.4 Å³/cell.



Stability summary: most stable *four*, least stable *three*.



*one*
# LiTeW3

An optimized crystal structure of LiTeW3 (PBE, Alexandria).

```
5
Lattice="4.925 0.000 0.000 0.000 4.925 0.000 0.000 0.000 4.925" Properties=species:S:1:pos:R:3 pbc="T T T"
Te 0.000 0.000 0.000
W 0.000 2.462 0.000
W 2.462 0.000 0.000
W 0.000 0.000 2.462
Li 2.462 2.462 2.462
```

Values from the calculation:
Its space-group type is Pm-3m. The calculation puts the volume at 119.4 Å³/cell.



*two*
# LiTeW3

An optimized crystal structure of LiTeW3 (PBE, Alexandria).

```
5
Lattice="-3.852 -0.027 -2.030 2.023 -0.407 -3.834 -0.166 -4.335 0.373" Properties=species:S:1:pos:R:3 pbc="T T T"
W 1.011 -0.204 -1.917
W -0.083 -2.168 0.186
W -1.926 -0.014 -1.015
Te -0.998 -2.385 -2.746
Li 0.000 0.000 0.000
```

Values from the calculation:
Its space-group type is Pm-3m. The calculation puts the volume at 82.6 Å³/cell.



Stability summary: most stable *two*, least stable *one*.